## VMo2H2 (PBE-GGA)

Data for VMo2H2 after structural relaxation.

Its density of states at the Fermi level is 5.5 states/eV per cell. Its symmetry is I4/mmm, No. 139. Its excess energy over the best structure of this formula in the dataset is 0.000 eV per atom. The total DFT energy (no corrections) is -37.4 eV/f.u.

```
data_VMo2H2
_cell_length_a 3.118
_cell_length_b 3.118
_cell_length_c 10.480
_cell_angle_alpha 90.00
_cell_angle_beta 90.00
_cell_angle_gamma 90.00
_symmetry_space_group_name_H-M 'P 1'
_symmetry_Int_Tables_number 1
loop_
_symmetry_equiv_pos_as_xyz
'x,y,z'
loop_
_atom_site_label
_atom_site_type_symbol
_atom_site_fract_x
_atom_site_fract_y
_atom_site_fract_z
V1 V 0.000 0.000 0.000
V2 V 0.500 0.500 0.500
Mo1 Mo 0.000 0.000 0.356
Mo2 Mo 0.000 0.000 0.644
Mo3 Mo 0.500 0.500 0.144
Mo4 Mo 0.500 0.500 0.856
H1 H 0.000 0.500 0.250
H2 H 0.000 0.500 0.750
H3 H 0.500 0.000 0.250
H4 H 0.500 0.000 0.750
```